Density functional theory data (PBE) for an optimized crystal structure of Cr2CdCo2.

Computed properties:
Magnetization   0.0 Bohr magnetons per cell
Total energy   -0.4850 Ry/atom
Offset from the most stable computed form   0.0 meV per atom
E_form   26.6 kJ per mole of atoms

Unit cell a=7.0288 b=7.0288 c=2.5815 alpha=90.00 beta=90.00 gamma=90.00
Closest atoms and distances in Å follow each position.
Element x y z (fractional)
Cr (0.1646, 0.6646, 0.5000)  6 Co 2.42-2.46, 2 Cr 2.58
Cr (0.6646, 0.8354, 0.5000)  6 Co 2.42-2.46, 2 Cr 2.58
Cr (0.8354, 0.3354, 0.5000)  6 Co 2.42-2.46, 2 Cr 2.58
Cr (0.3354, 0.1646, 0.5000)  6 Co 2.42-2.46, 2 Cr 2.58
Co (0.3758, 0.8758, 0.0000)  6 Cr 2.42-2.46, 3 Co 2.47-2.58
Co (0.8758, 0.6242, 0.0000)  6 Cr 2.42-2.46, 3 Co 2.47-2.58
Co (0.6242, 0.1242, 0.0000)  6 Cr 2.42-2.46, 3 Co 2.47-2.58
Co (0.1242, 0.3758, 0.0000)  6 Cr 2.42-2.46, 3 Co 2.47-2.58
Cd (0.0000, 0.0000, 0.0000)  2 Cd 2.58, 4 Co 2.78
Cd (0.5000, 0.5000, 0.0000)  2 Cd 2.58, 4 Co 2.78


Density functional theory data (PBE) for an optimized crystal structure of Cr2CdCo2.

Computed properties:
Magnetization   0.0 Bohr magnetons per cell
Total energy   -0.4834 Ry/atom
Offset from the most stable computed form   21.7 meV per atom
E_form   28.7 kJ per mole of atoms

Unit cell a=7.0882 b=7.0882 c=2.5757 alpha=90.00 beta=90.00 gamma=90.00
Closest atoms and distances in Å follow each position.
Element x y z (fractional)
Cr (0.3881, 0.8881, 0.0000)  1 Cr 2.24, 4 Co 2.43
Cr (0.8881, 0.6119, 0.0000)  1 Cr 2.24, 4 Co 2.43
Cr (0.6119, 0.1119, 0.0000)  1 Cr 2.24, 4 Co 2.43
Cr (0.1119, 0.3881, 0.0000)  1 Cr 2.24, 4 Co 2.43
Co (0.1721, 0.6721, 0.5000)  6 Cr 2.43-2.52, 2 Co 2.58
Co (0.6721, 0.8279, 0.5000)  6 Cr 2.43-2.52, 2 Co 2.58
Co (0.8279, 0.3279, 0.5000)  6 Cr 2.43-2.52, 2 Co 2.58
Co (0.3279, 0.1721, 0.5000)  6 Cr 2.43-2.52, 2 Co 2.58
Cd (0.0000, 0.0000, 0.0000)  2 Cd 2.58, 4 Cr 2.86
Cd (0.5000, 0.5000, 0.0000)  2 Cd 2.58, 4 Cr 2.86


Density functional theory data (PBE) for an optimized crystal structure of Cr2CdCo.

Computed properties:
Magnetization   0.8 Bohr magnetons per cell
Total energy   -0.4713 Ry/atom
E_form   39.0 kJ per mole of atoms

Unit cell a=8.3899 b=8.3899 c=8.3899 alpha=19.22 beta=19.22 gamma=19.22
Closest atoms and distances in Å follow each position.
Element x y z (fractional)
Cd (0.4983, 0.4983, 0.4983)  6 Cd 2.80, 3 Co 2.81, 3 Cr 2.97
Co (0.7387, 0.7387, 0.7387)  3 Cr 2.46
Cr (0.9972, 0.9972, 0.9972)  3 Cr 2.28, 3 Co 2.46
Cr (0.2658, 0.2658, 0.2658)  3 Cr 2.28


Density functional theory data (PBE) for an optimized crystal structure of Cr2CdCo.

Computed properties:
Magnetization   0.1 Bohr magnetons per cell
Total energy   -0.4627 Ry/atom
E_form   50.3 kJ per mole of atoms

Unit cell a=9.0126 b=9.0126 c=9.0126 alpha=16.88 beta=16.88 gamma=16.88
Closest atoms and distances in Å follow each position.
Element x y z (fractional)
Cd (0.2500, 0.2500, 0.2500)  6 Cd 2.65, 6 Cr 2.93
Co (0.7500, 0.7500, 0.7500)  6 Cr 2.47, 6 Co 2.65
Cr (0.0103, 0.0103, 0.0103)  3 Co 2.47, 6 Cr 2.65
Cr (0.4897, 0.4897, 0.4897)  3 Co 2.47, 6 Cr 2.65


Copy entry 2 word for word.
Density functional theory data (PBE) for an optimized crystal structure of Cr2CdCo2.

Computed properties:
Magnetization   0.0 Bohr magnetons per cell
Total energy   -0.4834 Ry/atom
Offset from the most stable computed form   21.7 meV per atom
E_form   28.7 kJ per mole of atoms

Unit cell a=7.0882 b=7.0882 c=2.5757 alpha=90.00 beta=90.00 gamma=90.00
Closest atoms and distances in Å follow each position.
Element x y z (fractional)
Cr (0.3881, 0.8881, 0.0000)  1 Cr 2.24, 4 Co 2.43
Cr (0.8881, 0.6119, 0.0000)  1 Cr 2.24, 4 Co 2.43
Cr (0.6119, 0.1119, 0.0000)  1 Cr 2.24, 4 Co 2.43
Cr (0.1119, 0.3881, 0.0000)  1 Cr 2.24, 4 Co 2.43
Co (0.1721, 0.6721, 0.5000)  6 Cr 2.43-2.52, 2 Co 2.58
Co (0.6721, 0.8279, 0.5000)  6 Cr 2.43-2.52, 2 Co 2.58
Co (0.8279, 0.3279, 0.5000)  6 Cr 2.43-2.52, 2 Co 2.58
Co (0.3279, 0.1721, 0.5000)  6 Cr 2.43-2.52, 2 Co 2.58
Cd (0.0000, 0.0000, 0.0000)  2 Cd 2.58, 4 Cr 2.86
Cd (0.5000, 0.5000, 0.0000)  2 Cd 2.58, 4 Cr 2.86


Copy entry 2 word for word.
Density functional theory data (PBE) for an optimized crystal structure of Cr2CdCo2.

Computed properties:
Magnetization   0.0 Bohr magnetons per cell
Total energy   -0.4834 Ry/atom
Offset from the most stable computed form   21.7 meV per atom
E_form   28.7 kJ per mole of atoms

Unit cell a=7.0882 b=7.0882 c=2.5757 alpha=90.00 beta=90.00 gamma=90.00
Closest atoms and distances in Å follow each position.
Element x y z (fractional)
Cr (0.3881, 0.8881, 0.0000)  1 Cr 2.24, 4 Co 2.43
Cr (0.8881, 0.6119, 0.0000)  1 Cr 2.24, 4 Co 2.43
Cr (0.6119, 0.1119, 0.0000)  1 Cr 2.24, 4 Co 2.43
Cr (0.1119, 0.3881, 0.0000)  1 Cr 2.24, 4 Co 2.43
Co (0.1721, 0.6721, 0.5000)  6 Cr 2.43-2.52, 2 Co 2.58
Co (0.6721, 0.8279, 0.5000)  6 Cr 2.43-2.52, 2 Co 2.58
Co (0.8279, 0.3279, 0.5000)  6 Cr 2.43-2.52, 2 Co 2.58
Co (0.3279, 0.1721, 0.5000)  6 Cr 2.43-2.52, 2 Co 2.58
Cd (0.0000, 0.0000, 0.0000)  2 Cd 2.58, 4 Cr 2.86
Cd (0.5000, 0.5000, 0.0000)  2 Cd 2.58, 4 Cr 2.86


Copy entry 2 word for word.
Density functional theory data (PBE) for an optimized crystal structure of Cr2CdCo2.

Computed properties:
Magnetization   0.0 Bohr magnetons per cell
Total energy   -0.4834 Ry/atom
Offset from the most stable computed form   21.7 meV per atom
E_form   28.7 kJ per mole of atoms

Unit cell a=7.0882 b=7.0882 c=2.5757 alpha=90.00 beta=90.00 gamma=90.00
Closest atoms and distances in Å follow each position.
Element x y z (fractional)
Cr (0.3881, 0.8881, 0.0000)  1 Cr 2.24, 4 Co 2.43
Cr (0.8881, 0.6119, 0.0000)  1 Cr 2.24, 4 Co 2.43
Cr (0.6119, 0.1119, 0.0000)  1 Cr 2.24, 4 Co 2.43
Cr (0.1119, 0.3881, 0.0000)  1 Cr 2.24, 4 Co 2.43
Co (0.1721, 0.6721, 0.5000)  6 Cr 2.43-2.52, 2 Co 2.58
Co (0.6721, 0.8279, 0.5000)  6 Cr 2.43-2.52, 2 Co 2.58
Co (0.8279, 0.3279, 0.5000)  6 Cr 2.43-2.52, 2 Co 2.58
Co (0.3279, 0.1721, 0.5000)  6 Cr 2.43-2.52, 2 Co 2.58
Cd (0.0000, 0.0000, 0.0000)  2 Cd 2.58, 4 Cr 2.86
Cd (0.5000, 0.5000, 0.0000)  2 Cd 2.58, 4 Cr 2.86


Please write out number 1 again, unchanged.
Density functional theory data (PBE) for an optimized crystal structure of Cr2CdCo2.

Computed properties:
Magnetization   0.0 Bohr magnetons per cell
Total energy   -0.4850 Ry/atom
Offset from the most stable computed form   0.0 meV per atom
E_form   26.6 kJ per mole of atoms

Unit cell a=7.0288 b=7.0288 c=2.5815 alpha=90.00 beta=90.00 gamma=90.00
Closest atoms and distances in Å follow each position.
Element x y z (fractional)
Cr (0.1646, 0.6646, 0.5000)  6 Co 2.42-2.46, 2 Cr 2.58
Cr (0.6646, 0.8354, 0.5000)  6 Co 2.42-2.46, 2 Cr 2.58
Cr (0.8354, 0.3354, 0.5000)  6 Co 2.42-2.46, 2 Cr 2.58
Cr (0.3354, 0.1646, 0.5000)  6 Co 2.42-2.46, 2 Cr 2.58
Co (0.3758, 0.8758, 0.0000)  6 Cr 2.42-2.46, 3 Co 2.47-2.58
Co (0.8758, 0.6242, 0.0000)  6 Cr 2.42-2.46, 3 Co 2.47-2.58
Co (0.6242, 0.1242, 0.0000)  6 Cr 2.42-2.46, 3 Co 2.47-2.58
Co (0.1242, 0.3758, 0.0000)  6 Cr 2.42-2.46, 3 Co 2.47-2.58
Cd (0.0000, 0.0000, 0.0000)  2 Cd 2.58, 4 Co 2.78
Cd (0.5000, 0.5000, 0.0000)  2 Cd 2.58, 4 Co 2.78